[1]
Here is crystalline Ba2NaGaCo at its relaxed geometry from Alexandria. Energies are from PBE. Values from VASP.

The structure in Quantum ESPRESSO input format:
```
&SYSTEM
  ibrav = 0, nat = 5, ntyp = 4
/
ATOMIC_SPECIES
Ba 137.33 Ba.upf
Na 22.99 Na.upf
Ga 69.72 Ga.upf
Co 58.93 Co.upf
CELL_PARAMETERS angstrom
5.965 0.000 0.000
0.000 5.965 0.000
0.000 0.000 4.759
ATOMIC_POSITIONS angstrom
Ba 0.000 2.983 0.000
Ba 2.983 0.000 0.000
Na 0.000 0.000 2.379
Ga 2.983 2.983 2.379
Co 2.983 2.983 0.000
```

Properties
Energy: -0.112 Ha/atom
Calculated density: 4.18 g/cm³
Energy of formation: 0.020 eV per atom



[2]
Here is crystalline PmYLuZr at its relaxed geometry from Alexandria. Energies are from PBE. Values from VASP.

The structure in Quantum ESPRESSO input format:
```
&SYSTEM
  ibrav = 0, nat = 4, ntyp = 4
/
ATOMIC_SPECIES
Pm 145.00 Pm.upf
Y 88.91 Y.upf
Lu 174.97 Lu.upf
Zr 91.22 Zr.upf
CELL_PARAMETERS angstrom
0.000 3.897 3.897
3.897 0.000 3.897
3.897 3.897 0.000
ATOMIC_POSITIONS angstrom
Pm 0.000 0.000 0.000
Y 1.949 1.949 1.949
Lu 3.897 3.897 3.897
Zr 5.846 5.846 5.846
```

Properties
Energy: -0.215 Ha/atom
Calculated density: 7.01 g/cm³
Energy of formation: 0.221 eV per atom



[3]
Here is crystalline TmMnSi2Ru at its relaxed geometry from Alexandria. Energies are from PBE. Values from VASP.

The structure in Quantum ESPRESSO input format:
```
&SYSTEM
  ibrav = 0, nat = 5, ntyp = 4
/
ATOMIC_SPECIES
Tm 168.93 Tm.upf
Mn 54.94 Mn.upf
Si 28.09 Si.upf
Ru 101.07 Ru.upf
CELL_PARAMETERS angstrom
-1.988 1.988 5.080
1.988 -1.988 5.080
1.988 1.988 -5.080
ATOMIC_POSITIONS angstrom
Tm 0.000 0.000 0.000
Mn 0.000 1.988 2.540
Si 0.000 0.000 3.870
Si 0.000 0.000 6.290
Ru 1.988 0.000 2.540
```

Properties
Energy: -0.276 Ha/atom
Uncorrected formation energy: -0.76 eV/atom
Calculated density: 7.88 g/cm³



[4]
Here is crystalline Li2LaTlIn at its relaxed geometry from Alexandria. Energies are from PBE. Values from VASP.

The structure in Quantum ESPRESSO input format:
```
&SYSTEM
  ibrav = 0, nat = 5, ntyp = 4
/
ATOMIC_SPECIES
Li 6.94 Li.upf
La 138.91 La.upf
Tl 204.38 Tl.upf
In 114.82 In.upf
CELL_PARAMETERS angstrom
5.020 0.000 0.000
0.000 5.020 0.000
0.000 0.000 5.663
ATOMIC_POSITIONS angstrom
Li 0.000 2.510 0.000
Li 2.510 0.000 0.000
La 0.000 0.000 2.832
Tl 2.510 2.510 0.000
In 2.510 2.510 2.832
```

Properties
Energy: -0.101 Ha/atom
Calculated density: 5.49 g/cm³
Energy of formation: 0.026 eV per atom



[5]
Here is crystalline Th4NiRh12 at its relaxed geometry from Alexandria. Energies are from PBE. Values from VASP.

The structure in Quantum ESPRESSO input format:
```
&SYSTEM
  ibrav = 0, nat = 17, ntyp = 3
/
ATOMIC_SPECIES
Th 232.04 Th.upf
Ni 58.69 Ni.upf
Rh 102.91 Rh.upf
CELL_PARAMETERS angstrom
-4.219 4.219 4.219
4.219 -4.219 4.219
4.219 4.219 -4.219
ATOMIC_POSITIONS angstrom
Th 2.110 2.110 -2.110
Th 2.110 -2.110 2.110
Th -2.110 2.110 2.110
Th 2.110 2.110 2.110
Ni 0.000 0.000 0.000
Rh 2.425 0.000 0.000
Rh 6.014 0.000 0.000
Rh 4.219 2.110 0.000
Rh 4.219 0.000 2.110
Rh 0.000 2.425 0.000
Rh 0.000 0.000 2.425
Rh 2.110 4.219 0.000
Rh 2.110 0.000 4.219
Rh 0.000 6.014 0.000
Rh 0.000 0.000 6.014
Rh 0.000 4.219 2.110
Rh 0.000 2.110 4.219
```

Properties
Energy: -0.291 Ha/atom
Calculated density: 12.28 g/cm³
Energy of formation: -0.631 eV per atom



[6]
Here is crystalline NbCS at its relaxed geometry from Alexandria. Energies are from PBE. Values from VASP.

The structure in Quantum ESPRESSO input format:
```
&SYSTEM
  ibrav = 0, nat = 6, ntyp = 3
/
ATOMIC_SPECIES
Nb 92.91 Nb.upf
C 12.01 C.upf
S 32.06 S.upf
CELL_PARAMETERS angstrom
-1.528 1.930 7.328
1.528 -1.930 7.328
1.528 1.930 -7.328
ATOMIC_POSITIONS angstrom
Nb 0.000 0.000 2.609
Nb 0.000 0.000 12.047
C 0.000 0.000 4.629
C 0.000 0.000 10.026
S 0.000 0.984 0.000
S 0.000 2.877 0.000
```

Properties
Energy: -0.263 Ha/atom
Uncorrected formation energy: 0.64 eV/atom
Calculated density: 5.26 g/cm³



[7]
Here is crystalline Al3GaCu at its relaxed geometry from Alexandria. Energies are from PBE. Values from VASP.

The structure in Quantum ESPRESSO input format:
```
&SYSTEM
  ibrav = 0, nat = 5, ntyp = 3
/
ATOMIC_SPECIES
Al 26.98 Al.upf
Ga 69.72 Ga.upf
Cu 63.55 Cu.upf
CELL_PARAMETERS angstrom
4.595 0.000 0.000
0.000 4.595 0.000
0.000 0.000 4.595
ATOMIC_POSITIONS angstrom
Al 0.000 0.000 2.298
Al 0.000 2.298 0.000
Al 2.298 0.000 0.000
Ga 2.298 2.298 2.298
Cu 0.000 0.000 0.000
```

Properties
Energy: -0.125 Ha/atom
Calculated density: 3.67 g/cm³
Energy above the lowest structure with this stoichiometry: 0.000 eV/f.u.
Energy of formation: 0.259 eV per atom



[8]
Here is crystalline HPtI2N at its relaxed geometry from Alexandria. Energies are from PBE. Values from VASP.

The structure in Quantum ESPRESSO input format:
```
&SYSTEM
  ibrav = 0, nat = 5, ntyp = 4
/
ATOMIC_SPECIES
H 1.01 H.upf
Pt 195.08 Pt.upf
I 126.90 I.upf
N 14.01 N.upf
CELL_PARAMETERS angstrom
5.851 0.000 0.000
0.000 5.851 0.000
0.000 0.000 3.683
ATOMIC_POSITIONS angstrom
H 0.000 0.000 0.000
Pt 2.925 2.925 1.841
I 0.000 2.925 1.841
I 2.925 0.000 1.841
N 2.925 2.925 0.000
```

Properties
Energy: -0.121 Ha/atom
Calculated density: 6.11 g/cm³
Energy above the lowest structure with this stoichiometry: 0.000 eV/f.u.



[9]
Here is crystalline MgHgBi2 at its relaxed geometry from Alexandria. Energies are from PBE. Values from VASP.

The structure in Quantum ESPRESSO input format:
```
&SYSTEM
  ibrav = 0, nat = 4, ntyp = 3
/
ATOMIC_SPECIES
Mg 24.30 Mg.upf
Hg 200.59 Hg.upf
Bi 208.98 Bi.upf
CELL_PARAMETERS angstrom
4.786 0.000 0.000
0.000 4.786 0.000
0.000 0.000 4.879
ATOMIC_POSITIONS angstrom
Mg 0.000 0.000 0.000
Hg 2.393 2.393 0.000
Bi 0.000 2.393 2.440
Bi 2.393 0.000 2.440
```

Properties
Energy: -0.088 Ha/atom
Calculated density: 9.55 g/cm³
Energy above the lowest structure with this stoichiometry: 0.249 eV/f.u.
Energy of formation: 0.027 eV per atom



[10]
Here is crystalline IrPtWN2 at its relaxed geometry from Alexandria. Energies are from PBE. Values from VASP.

The structure in Quantum ESPRESSO input format:
```
&SYSTEM
  ibrav = 0, nat = 5, ntyp = 4
/
ATOMIC_SPECIES
Ir 192.22 Ir.upf
Pt 195.08 Pt.upf
W 183.84 W.upf
N 14.01 N.upf
CELL_PARAMETERS angstrom
3.839 0.000 0.000
0.000 3.839 0.000
0.000 0.000 5.339
ATOMIC_POSITIONS angstrom
Ir 0.000 0.000 0.000
Pt 1.919 1.919 0.000
W 0.000 0.000 2.670
N 0.000 1.919 2.670
N 1.919 0.000 2.670
```

Properties
Energy: -0.289 Ha/atom
Uncorrected formation energy: 1.05 eV/atom
Calculated density: 12.65 g/cm³



[11]
Here is crystalline TeOs2Cl at its relaxed geometry from Alexandria. Energies are from PBE. Values from VASP.

The structure in Quantum ESPRESSO input format:
```
&SYSTEM
  ibrav = 0, nat = 4, ntyp = 3
/
ATOMIC_SPECIES
Te 127.60 Te.upf
Os 190.23 Os.upf
Cl 35.45 Cl.upf
CELL_PARAMETERS angstrom
3.214 0.000 0.000
0.000 3.214 0.000
0.000 0.000 6.940
ATOMIC_POSITIONS angstrom
Te 0.000 0.000 0.000
Os 1.607 1.607 1.448
Os 1.607 1.607 5.492
Cl 0.000 0.000 3.470
```

Properties
Energy: -0.207 Ha/atom
Uncorrected formation energy: 1.24 eV/atom
Calculated density: 12.59 g/cm³
Energy above the lowest structure with this stoichiometry: 4.069 eV/f.u.



[12]
Here is crystalline BiN at its relaxed geometry from Alexandria. Energies are from PBE. Values from VASP.

The structure in Quantum ESPRESSO input format:
```
&SYSTEM
  ibrav = 0, nat = 2, ntyp = 2
/
ATOMIC_SPECIES
Bi 208.98 Bi.upf
N 14.01 N.upf
CELL_PARAMETERS angstrom
0.000 2.570 2.570
2.570 0.000 2.570
2.570 2.570 0.000
ATOMIC_POSITIONS angstrom
Bi 0.000 0.000 0.000
N 2.570 2.570 2.570
```

Properties
Energy: -0.197 Ha/atom
Uncorrected formation energy: 0.74 eV/atom
Calculated density: 10.91 g/cm³